(1)
Entry from the Alexandria database: a relaxed structure of ZrTaAsBr2 (GGA-PBE).

Properties
ΔE_f (raw)   0.49 eV per atom
Total magnetization   2.5 Bohr magnetons per cell
Raw total energy   -0.191 hartree per atom

abc: 5.0209 5.0209 5.1586
angles: 90.00 90.00 90.00
Closest atoms and distances in Å follow each position.
Positions (direct):
1 Zr 0.5000 0.5000 0.5000  4 As 3.55, 8 Br 3.60
2 Br 0.5000 0.0000 0.0000  2 Ta 2.51
3 Br 0.0000 0.5000 0.0000  2 Ta 2.51
4 Ta 0.0000 0.0000 0.0000  4 Br 2.51, 2 As 2.58
5 As 0.0000 0.0000 0.5000  2 Ta 2.58



(2)
Entry from the Alexandria database: a relaxed structure of CeHo2Sc (GGA-PBE).

Properties
Total magnetization   0.6 Bohr magnetons per cell
Calculated formation energy   0.67 eV/f.u.
Raw total energy   -0.191 hartree per atom

abc: 3.3304 3.3304 12.1005
angles: 82.09 82.09 60.00
Closest atoms and distances in Å follow each position.
Positions (direct):
1 Ho 0.9091 0.9091 0.2727  1 Ce 3.26, 3 Sc 3.33, 6 Ho 3.33
2 Ho 0.0909 0.0909 0.7273  1 Ce 3.26, 3 Sc 3.33, 6 Ho 3.33
3 Ce 0.0000 0.0000 0.0000  2 Ho 3.26, 6 Ce 3.33
4 Sc 0.5000 0.5000 0.5000  6 Ho 3.33, 6 Sc 3.33



(3)
Entry from the Alexandria database: a relaxed structure of InP2PbS8 (GGA-PBE).

Properties
ΔE_f (raw)   -0.19 eV per atom
Total magnetization   0.0 Bohr magnetons per cell
Raw total energy   -0.161 hartree per atom

abc: 5.9633 5.9633 9.3063
angles: 71.31 71.31 60.00
Closest atoms and distances in Å follow each position.
Positions (direct):
1 P 0.2487 0.2487 0.2540  4 S 2.03-2.07
2 P 0.7513 0.7513 0.7460  4 S 2.03-2.07
3 S 0.6909 0.0752 0.8170  1 P 2.07
4 S 0.4169 0.6909 0.8170  1 P 2.07
5 S 0.1705 0.1705 0.4884  1 P 2.03
6 S 0.5831 0.3091 0.1830  1 P 2.07
7 S 0.0752 0.4169 0.8170  1 P 2.07
8 S 0.3091 0.9248 0.1830  1 P 2.07
9 S 0.8295 0.8295 0.5116  1 P 2.03
10 S 0.9248 0.5831 0.1830  1 P 2.07
11 Pb 0.5000 0.5000 0.5000  12 S 3.30-3.44
12 In 0.0000 0.0000 0.0000  6 S 2.68



(4)
Entry from the Alexandria database: a relaxed structure of RbLiNbI6 (GGA-PBE).

Properties
ΔE_f (raw)   -0.81 eV per atom
Total magnetization   2.0 Bohr magnetons per cell
Raw total energy   -0.121 hartree per atom

abc: 7.5695 7.5695 16.3965
angles: 90.00 90.00 120.00
Closest atoms and distances in Å follow each position.
Positions (direct):
1 I 0.6379 0.0155 0.3495  1 Nb 2.82, 1 Li 2.98
2 I 0.9845 0.3621 0.1505  1 Nb 2.82, 1 Li 2.98
3 I 0.3776 0.3621 0.3495  1 Nb 2.82, 1 Li 2.98
4 I 0.3621 0.3776 0.8495  1 Nb 2.82, 1 Li 2.98
5 I 0.6224 0.6379 0.6505  1 Nb 2.82, 1 Li 2.98
6 I 0.0155 0.6379 0.8495  1 Nb 2.82, 1 Li 2.98
7 I 0.3621 0.9845 0.6505  1 Nb 2.82, 1 Li 2.98
8 I 0.9845 0.6224 0.3495  1 Nb 2.82, 1 Li 2.98
9 I 0.0155 0.3776 0.6505  1 Nb 2.82, 1 Li 2.98
10 I 0.3776 0.0155 0.1505  1 Nb 2.82, 1 Li 2.98
11 I 0.6224 0.9845 0.8495  1 Nb 2.82, 1 Li 2.98
12 I 0.6379 0.6224 0.1505  1 Nb 2.82, 1 Li 2.98
13 Rb 0.0000 0.0000 0.5000  6 I 3.73
14 Rb 0.0000 0.0000 0.0000  6 I 3.73
15 Li 0.3333 0.6667 0.2500  6 I 2.98
16 Li 0.6667 0.3333 0.7500  6 I 2.98
17 Nb 0.3333 0.6667 0.7500  6 I 2.82
18 Nb 0.6667 0.3333 0.2500  6 I 2.82



(5)
Entry from the Alexandria database: a relaxed structure of BiPO2 (GGA-PBE).

Properties
ΔE_f (raw)   -0.56 eV per atom
Total magnetization   0.0 Bohr magnetons per cell
Raw total energy   -0.197 hartree per atom

abc: 7.3024 7.3024 7.3024
angles: 25.59 25.59 25.59
Closest atoms and distances in Å follow each position.
Positions (direct):
1 Bi 0.5000 0.5000 0.5000  6 O 2.66
2 O 0.0770 0.0770 0.0770  1 P 1.63
3 O 0.9230 0.9230 0.9230  1 P 1.63
4 P 0.0000 0.0000 0.0000  2 O 1.63



(6)
Entry from the Alexandria database: a relaxed structure of Pr4Y2Ho3 (GGA-PBE).

Properties
Total magnetization   0.0 Bohr magnetons per cell
Calculated formation energy   0.20 eV/f.u.
Raw total energy   -0.186 hartree per atom

abc: 5.1236 8.0957 14.9241
angles: 144.39 90.00 108.45
Closest atoms and distances in Å follow each position.
Positions (direct):
1 Pr 0.6645 0.3289 0.9990  2 Y 3.60-3.63, 5 Ho 3.61-3.65, 5 Pr 3.63-3.65
2 Pr 0.1124 0.2248 0.3350  5 Pr 3.61-3.65, 3 Y 3.62-3.64, 4 Ho 3.63-3.64
3 Pr 0.3355 0.6711 0.0010  2 Y 3.60-3.63, 5 Ho 3.61-3.65, 5 Pr 3.63-3.65
4 Pr 0.8876 0.7752 0.6650  5 Pr 3.61-3.65, 3 Y 3.62-3.64, 4 Ho 3.63-3.64
5 Ho 0.0000 0.0000 0.0000  2 Ho 3.60, 6 Pr 3.61-3.63, 4 Y 3.63
6 Ho 0.4418 0.8837 0.3325  4 Y 3.58-3.62, 2 Ho 3.59-3.60, 6 Pr 3.63-3.65
7 Ho 0.5582 0.1163 0.6675  4 Y 3.58-3.62, 2 Ho 3.59-3.60, 6 Pr 3.63-3.65
8 Y 0.2189 0.4377 0.6647  1 Y 3.57, 6 Ho 3.58-3.63, 5 Pr 3.60-3.64
9 Y 0.7811 0.5623 0.3353  1 Y 3.57, 6 Ho 3.58-3.63, 5 Pr 3.60-3.64



(7)
Entry from the Alexandria database: a relaxed structure of SnB3As (GGA-PBE).

Properties
Total magnetization   0.0 Bohr magnetons per cell
Calculated formation energy   8.37 eV/f.u.
Raw total energy   -0.149 hartree per atom

abc: 4.2051 4.2051 4.2051
angles: 90.00 90.00 90.00
Closest atoms and distances in Å follow each position.
Positions (direct):
1 Sn 0.5000 0.5000 0.5000  12 B 2.97
2 B 0.5000 0.0000 0.0000  2 As 2.10
3 B 0.0000 0.0000 0.5000  2 As 2.10
4 B 0.0000 0.5000 0.0000  2 As 2.10
5 As 0.0000 0.0000 0.0000  6 B 2.10



(8)
Entry from the Alexandria database: a relaxed structure of Tb2Sm5Tl4 (GGA-PBE).

Properties
Total magnetization   0.1 Bohr magnetons per cell
Calculated formation energy   -1.97 eV/f.u.
Raw total energy   -0.148 hartree per atom

abc: 3.5091 8.7399 10.6495
angles: 84.16 90.00 90.00
Closest atoms and distances in Å follow each position.
Positions (direct):
1 Tl 0.5000 0.2428 0.5779  6 Sm 3.29-3.56, 4 Tb 3.30-3.38, 2 Tl 3.51
2 Tl 0.5000 0.7572 0.4221  6 Sm 3.29-3.56, 4 Tb 3.30-3.38, 2 Tl 3.51
3 Tl 0.5000 0.2020 0.1205  2 Tb 3.18, 4 Sm 3.29-3.34, 2 Tl 3.51
4 Tl 0.5000 0.7980 0.8795  2 Tb 3.18, 4 Sm 3.29-3.34, 2 Tl 3.51
5 Tb 0.0000 0.0869 0.3611  6 Tl 3.18-3.38, 3 Tb 3.19-3.51, 2 Sm 3.32-3.35
6 Tb 0.0000 0.9131 0.6389  6 Tl 3.18-3.38, 3 Tb 3.19-3.51, 2 Sm 3.32-3.35
7 Sm 0.0000 0.4684 0.3341  4 Tl 3.29-3.56, 1 Tb 3.32, 5 Sm 3.51-3.65
8 Sm 0.0000 0.5316 0.6659  4 Tl 3.29-3.56, 1 Tb 3.32, 5 Sm 3.51-3.65
9 Sm 0.0000 0.5000 0.0000  4 Tl 3.29, 6 Sm 3.45-3.54
10 Sm 0.0000 0.1614 0.8591  6 Tl 3.34-3.62, 1 Tb 3.35, 4 Sm 3.45-3.65
11 Sm 0.0000 0.8386 0.1409  6 Tl 3.34-3.62, 1 Tb 3.35, 4 Sm 3.45-3.65



(9)
Entry from the Alexandria database: a relaxed structure of In12Ga3Sn (GGA-PBE).

Properties
Total magnetization   0.0 Bohr magnetons per cell
Calculated formation energy   0.54 eV/f.u.
Raw total energy   -0.104 hartree per atom

abc: 4.5418 5.1403 17.6102
angles: 90.00 90.00 89.98
Closest atoms and distances in Å follow each position.
Positions (direct):
1 In 0.0000 0.5000 0.8708  8 In 3.15-3.43, 2 Ga 3.42, 2 Sn 3.43
2 In 0.5000 0.0000 0.8650  2 Ga 3.12, 2 Sn 3.29, 6 In 3.31-3.43
3 In 0.5000 0.0000 0.3778  4 Ga 3.11-3.13, 8 In 3.35-3.43
4 In 0.5000 0.5000 0.0000  8 In 3.21-3.50, 4 Sn 3.43
5 In 0.5000 0.5000 0.7468  8 In 3.14-3.38, 4 Ga 3.43
6 In 0.5000 0.5000 0.2532  8 In 3.14-3.38, 4 Ga 3.43
7 In 0.5000 0.5000 0.5000  8 In 3.14-3.35, 4 Ga 3.43
8 In 0.0000 0.5000 0.3767  8 In 3.14-3.43, 4 Ga 3.32-3.36
9 In 0.5000 0.0000 0.1350  2 Ga 3.12, 2 Sn 3.29, 6 In 3.31-3.43
10 In 0.0000 0.5000 0.1292  8 In 3.15-3.43, 2 Ga 3.42, 2 Sn 3.43
11 In 0.0000 0.5000 0.6233  8 In 3.14-3.43, 4 Ga 3.32-3.36
12 In 0.5000 0.0000 0.6222  4 Ga 3.11-3.13, 8 In 3.35-3.43
13 Sn 0.0000 0.0000 0.0000  12 In 3.29-3.43
14 Ga 0.0000 0.9999 0.2569  12 In 3.11-3.43
15 Ga 0.0000 0.0000 0.5000  12 In 3.13-3.43
16 Ga 0.0000 0.0001 0.7431  12 In 3.11-3.43



(10)
Entry from the Alexandria database: a relaxed structure of Tb3Tm2In (GGA-PBE).

Properties
Total magnetization   0.0 Bohr magnetons per cell
Calculated formation energy   -0.98 eV/f.u.
Raw total energy   -0.163 hartree per atom

abc: 4.8353 4.8692 7.8688
angles: 108.02 90.00 90.00
Closest atoms and distances in Å follow each position.
Positions (direct):
1 Tb 0.5000 0.1688 0.3376  6 Tm 3.43-3.49, 4 Tb 3.44-3.51, 2 In 3.50
2 Tb 0.5000 0.8312 0.6624  6 Tm 3.43-3.49, 4 Tb 3.44-3.51, 2 In 3.50
3 Tb 0.5000 0.5000 0.0000  4 In 3.43, 4 Tm 3.43, 4 Tb 3.51
4 Tm 0.0000 0.6628 0.3257  8 Tb 3.43-3.49, 2 In 3.44, 2 Tm 3.57
5 Tm 0.0000 0.3372 0.6743  8 Tb 3.43-3.49, 2 In 3.44, 2 Tm 3.57
6 In 0.0000 0.0000 0.0000  8 Tb 3.43-3.50, 4 Tm 3.44



(11)
Entry from the Alexandria database: a relaxed structure of CePmY2 (GGA-PBE).

Properties
Total magnetization   0.7 Bohr magnetons per cell
Calculated formation energy   0.31 eV/f.u.
Raw total energy   -0.214 hartree per atom

abc: 5.0335 5.0746 5.0746
angles: 90.00 90.00 90.00
Closest atoms and distances in Å follow each position.
Positions (direct):
1 Y 0.0000 0.5000 0.0000  4 Ce 3.57, 4 Pm 3.57, 4 Y 3.59
2 Y 0.0000 0.0000 0.5000  4 Ce 3.57, 4 Pm 3.57, 4 Y 3.59
3 Ce 0.5000 0.0000 0.0000  8 Y 3.57, 4 Pm 3.59
4 Pm 0.5000 0.5000 0.5000  8 Y 3.57, 4 Ce 3.59



(12)
Entry from the Alexandria database: a relaxed structure of ErThSn2 (GGA-PBE).

Properties
Total magnetization   0.0 Bohr magnetons per cell
Calculated formation energy   -1.79 eV/f.u.
Raw total energy   -0.200 hartree per atom

abc: 5.4048 5.4048 5.4048
angles: 60.00 60.00 60.00
Closest atoms and distances in Å follow each position.
Positions (direct):
1 Th 0.5000 0.5000 0.5000  8 Sn 3.31
2 Sn 0.2500 0.2500 0.2500  4 Th 3.31, 4 Er 3.31
3 Sn 0.7500 0.7500 0.7500  4 Er 3.31, 4 Th 3.31
4 Er 0.0000 0.0000 0.0000  8 Sn 3.31



Look up the total magnetization of the twelfth one. 0.0 Bohr magnetons per cell